Record 1
A relaxed CeTh5In2Tc crystal, computed with PBE-GGA.

Output
Space-group type: Cmcm, No. 63
Energy of formation from the pure elements (eV per atom): -0.112
Theoretical density (g/cm3): 10.59
Volume (Å³/atom): 28.4
DFT total energy (eV for the cell shown): -119.76
DOS at the Fermi energy (states/eV per cell): 26.28
M_tot (μB per formula unit): 0.00

Structure (extended XYZ):
```
18
Lattice="2.391 -10.121 0.000 2.391 10.121 0.000 0.000 0.000 10.551" Properties=species:S:1:pos:R:3 pbc="T T T"
Ce 2.391 8.154 7.913
Ce 2.391 -8.154 2.638
Th 0.000 0.000 0.000
Th 0.000 0.000 5.275
Th 2.391 7.053 2.638
Th 2.391 5.509 6.191
Th 2.391 5.509 9.636
Th 2.391 0.279 7.913
Th 2.391 -0.279 2.638
Th 2.391 -5.509 0.915
Th 2.391 -5.509 4.360
Th 2.391 -7.053 7.913
In 2.391 2.356 0.125
In 2.391 2.356 5.151
In 2.391 -2.356 5.400
In 2.391 -2.356 10.426
Tc 2.391 4.160 2.638
Tc 2.391 -4.160 7.913
```

***

Record 2
A relaxed Ce10In6Te crystal, computed with PBE-GGA.

Output
Space-group type: P-31m, No. 162
E_form (uncorrected) (eV per atom): -0.357
Theoretical density (g/cm3): 7.23
Volume (Å³/atom): 30.0
DFT total energy (eV for the cell shown): -84.97
DOS at the Fermi energy (states/eV per cell): 51.77
M_tot (μB per formula unit): 13.64

Structure (extended XYZ):
```
17
Lattice="9.638 0.000 0.000 -4.819 8.347 0.000 0.000 0.000 6.334" Properties=species:S:1:pos:R:3 pbc="T T T"
Ce -1.297 2.247 1.451
Ce -3.522 6.099 4.884
Ce 2.595 0.000 1.451
Ce 1.297 2.247 4.884
Ce 0.000 5.564 0.000
Ce 0.000 5.564 3.167
Ce 4.819 2.782 0.000
Ce 4.819 2.782 3.167
Ce 7.043 0.000 4.884
Ce 3.522 6.099 1.451
In -1.874 3.246 4.656
In -2.945 5.101 1.678
In 3.748 0.000 4.656
In 1.874 3.246 1.678
In 5.890 0.000 1.678
In 2.945 5.101 4.656
Te 0.000 0.000 3.167
```

***

Record 3
A relaxed Ce3In5Te12 crystal, computed with PBE-GGA.

Output
Space-group type: Ia-3d, No. 230
E_form (uncorrected) (eV per atom): -0.650
Theoretical density (g/cm3): 5.82
Volume (Å³/atom): 36.0
DFT total energy (eV for the cell shown): -328.81
DOS at the Fermi energy (states/eV per cell): 86.00
M_tot (μB per formula unit): 2.09

Structure (extended XYZ):
```
80
Lattice="-8.966 8.966 8.966 8.966 -8.966 8.966 8.966 8.966 -8.966" Properties=species:S:1:pos:R:3 pbc="T T T"
Ce 4.483 2.241 0.000
Ce 8.966 4.483 -2.241
Ce 2.241 0.000 4.483
Ce 11.207 0.000 4.483
Ce 0.000 4.483 2.241
Ce 4.483 -2.241 8.966
Ce 4.483 11.207 0.000
Ce 8.966 4.483 6.724
Ce -2.241 8.966 4.483
Ce 6.724 8.966 4.483
Ce 0.000 4.483 11.207
Ce 4.483 6.724 8.966
In 0.000 0.000 0.000
In 4.483 4.483 -4.483
In 4.483 -4.483 4.483
In 8.966 0.000 0.000
In 13.448 2.241 0.000
In 8.966 -4.483 6.724
In 6.724 8.966 -4.483
In 6.724 0.000 4.483
In 4.483 6.724 0.000
In 8.966 4.483 2.241
In -4.483 4.483 4.483
In 0.000 8.966 0.000
In 0.000 0.000 8.966
In 4.483 4.483 4.483
In 0.000 4.483 6.724
In 4.483 2.241 8.966
In 2.241 8.966 4.483
In 2.241 0.000 13.448
In 0.000 13.448 2.241
In -4.483 6.724 8.966
Te 2.743 -0.376 1.208
Te 10.706 5.691 -4.859
Te 8.590 -1.208 2.743
Te 13.825 -1.740 3.275
Te 11.708 0.376 1.208
Te 10.706 -3.275 4.859
Te 1.208 2.743 -0.376
Te 12.241 4.107 -1.740
Te 5.691 4.859 -1.740
Te 7.758 2.743 0.376
Te -0.376 1.208 2.743
Te 4.859 -1.740 5.691
Te 8.590 7.758 -2.743
Te 4.859 1.740 3.275
Te 7.758 -2.743 8.590
Te 5.691 -4.859 10.706
Te 3.275 4.859 1.740
Te 10.173 6.223 0.376
Te 2.743 8.590 -1.208
Te 10.706 3.275 4.107
Te 4.859 10.706 -3.275
Te 8.590 1.208 6.223
Te 1.740 3.275 4.859
Te 2.743 0.376 7.758
Te 6.223 8.590 1.208
Te 7.225 5.691 4.107
Te 0.376 7.758 2.743
Te 4.107 -1.740 12.241
Te -1.740 5.691 4.859
Te 6.223 0.376 10.173
Te -1.208 2.743 8.590
Te 5.691 4.107 7.225
Te 3.275 13.825 -1.740
Te 1.208 11.708 0.376
Te 4.107 7.225 5.691
Te 0.376 1.208 11.708
Te 4.107 10.706 3.275
Te 9.342 7.758 6.223
Te 1.208 6.223 8.590
Te 3.275 4.107 10.706
Te -3.275 4.859 10.706
Te 7.758 6.223 9.342
Te -1.740 12.241 4.107
Te -2.743 8.590 7.758
Te -4.859 10.706 5.691
Te 0.376 10.173 6.223
Te -1.740 3.275 13.825
Te 6.223 9.342 7.758
```

***

> Which value of volume does entry 2 give?

30.0 Å³/atom

***

> Look up the DOS at the Fermi energy of the second one.

51.77 states/eV per cell

***

> Which value of M_tot does entry 2 give?

13.64 μB per formula unit